First-principles (PBE-GGA) data for crystalline Ce2PaCoS5 at its relaxed geometry, as listed in Alexandria.

* raw formation energy: -1.64 eV per atom

The structure in extended XYZ format:
```
18
Lattice="-2.0323 -2.7047 -1.7105 5.1689 2.6150 -6.0755 8.0729 -8.1822 3.3466" Properties=species:S:1:pos:R:3 pbc="T T T"
S 0.2081 -0.0473 -0.1724
S 7.4700 -7.9042 -0.5778
Ce 3.7558 -2.0180 -5.4725
S 1.0559 -3.4265 -0.0374
Co 7.0464 -2.3218 -4.7008
Ce 6.6300 -5.4191 0.6916
Pa 1.6392 0.2578 -2.3552
Ce 3.7444 -2.5849 -0.3614
Pa 5.8992 -4.8088 -3.6060
S 4.5079 -5.2211 -1.3010
S 10.2218 -4.9146 -4.3737
S 8.1051 -4.8520 -1.9576
S 5.4919 -2.1438 -3.1351
Ce 9.0806 -7.3243 -3.4083
S 7.1329 -4.3037 -5.8706
Co 6.9030 -8.7271 1.3972
S 2.1008 -2.4027 -2.8978
S 3.0143 0.6865 -4.6670
```